Entry 1:
A plane-wave DFT calculation with PBE-GGA was carried out for a geometry-optimized KInRhCl6 structure.

Values from the calculation:
For the magnetic moment, the calculation gives 0.111 μB per atom. The calculation puts the formation energy without anion corrections at -1.058 eV per atom.

Geometry as POSCAR:
```
KInRhCl6
1.0
3.3698 -5.5704 0.0000
3.3698 5.5704 0.0000
-0.2961 0.0000 6.9764
K In Rh Cl
1 1 1 6
direct
0.0000 0.0000 0.0000
0.6672 0.3328 0.5000
0.3278 0.6722 0.5000
0.0053 0.6466 0.3103
0.3497 0.3829 0.3036
0.3534 0.9947 0.6897
0.6171 0.6503 0.6964
0.6244 0.0105 0.2748
0.9895 0.3756 0.7252
```

***

Entry 2:
A plane-wave DFT calculation with PBE-GGA was carried out for a geometry-optimized NaHg2HN structure.

Values from the calculation:
For the magnetic moment, the calculation gives 0.000 μB per atom.

Geometry as POSCAR:
```
NaHg2HN
1.0
4.2710 0.0000 0.0000
0.0000 4.2710 0.0000
0.0000 0.0000 4.3957
Na Hg H N
1 2 1 1
direct
0.0000 0.0000 0.0000
0.0000 0.5000 0.5000
0.5000 0.0000 0.5000
0.0000 0.0000 0.5000
0.5000 0.5000 0.0000
```

***

Entry 3:
A plane-wave DFT calculation with PBE-GGA was carried out for a geometry-optimized Pr6Pt2SeI3 structure.

Values from the calculation:
For the magnetic moment, the calculation gives 0.000 μB per atom. The calculation puts the formation energy without anion corrections at -1.197 eV per atom.

Geometry as POSCAR:
```
Pr6Pt2SeI3
1.0
3.8121 -6.5783 0.0000
3.8121 6.5783 0.0000
-2.5291 0.0000 7.8580
Pr Pt Se I
6 2 1 3
direct
0.0821 0.4354 0.8080
0.2102 0.2102 0.1909
0.4354 0.0821 0.8080
0.5646 0.9179 0.1920
0.7898 0.7898 0.8091
0.9179 0.5646 0.1920
0.1671 0.8329 0.0000
0.8329 0.1671 0.0000
0.5000 0.5000 0.0000
0.0000 0.0000 0.5000
0.3389 0.6611 0.5000
0.6611 0.3389 0.5000
```

***

| no. | electronic total energy (eV per atom) |
| --- | --- |
| 1 | -3.532 |
| 2 | -1.797 |
| 3 | -5.271 |